This record from Alexandria via LeMat-Bulk describes a relaxed structure of Al3CuNi6. The functional is PBE.

Results
Space-group type: P2_1/m (11)
Calculated formation energy: -426 meV per atom
Final energy: -5.4276 eV per atom

abc: 4.1408 6.7744 8.9906
angles: 112.52 90.00 90.00
Fractional positions:
Al (0.2500, 0.5541, 0.3823)
Al (0.7500, 0.4459, 0.6177)
Al (0.2500, 0.3530, 0.7768)
Al (0.7500, 0.6470, 0.2232)
Al (0.2500, 0.7792, 0.9829)
Al (0.7500, 0.2208, 0.0171)
Cu (0.2500, 0.9595, 0.5724)
Cu (0.7500, 0.0405, 0.4276)
Ni (0.2500, 0.4623, 0.0758)
Ni (0.7500, 0.5377, 0.9242)
Ni (0.2500, 0.1615, 0.1751)
Ni (0.7500, 0.8385, 0.8249)
Ni (0.2500, 0.6649, 0.6822)
Ni (0.7500, 0.3351, 0.3178)
Ni (0.2500, 0.2620, 0.4762)
Ni (0.7500, 0.7380, 0.5238)
Ni (0.2500, 0.8604, 0.2775)
Ni (0.7500, 0.1396, 0.7225)
Ni (0.2500, 0.0597, 0.8686)
Ni (0.7500, 0.9403, 0.1314)



This record from Alexandria via LeMat-Bulk describes a relaxed structure of Mg3Tc. The functional is PBE.

Results
Space-group type: P6_3/mmc (194)
Calculated formation energy: 214 meV per atom
Final energy: -3.5733 eV per atom

abc: 5.9083 5.9083 4.8196
angles: 90.00 90.00 120.00
Each line ends with the local moment (μB).
Fractional positions:
Mg (0.8265, 0.6530, 0.2500)  -0.01
Mg (0.3470, 0.1735, 0.2500)  -0.01
Mg (0.8265, 0.1735, 0.2500)  -0.01
Mg (0.1735, 0.3470, 0.7500)  -0.01
Mg (0.6530, 0.8265, 0.7500)  -0.01
Mg (0.1735, 0.8265, 0.7500)  -0.01
Tc (0.3333, 0.6667, 0.2500)  0.92
Tc (0.6667, 0.3333, 0.7500)  0.92



This record from Alexandria via LeMat-Bulk describes a relaxed structure of LiSc2P. The functional is PBE.

Results
Space-group type: P4/mmm (123)
Calculated formation energy: -582 meV per atom
Final energy: -5.5788 eV per atom

abc: 4.3538 4.3538 3.6407
angles: 90.00 90.00 90.03
Fractional positions:
Li (0.5000, 0.0000, 0.5000)
P (0.0000, 0.5000, 0.5000)
Sc (0.0000, 0.0000, 0.0000)
Sc (0.5000, 0.5000, 0.0000)



This record from Alexandria via LeMat-Bulk describes a relaxed structure of Na2CuOs. The functional is PBE.

Results
Space-group type: I-42d (122)
Offset from the most stable computed form: 0.000 eV per atom
Calculated formation energy: 1230 meV per atom
Final energy: -3.2610 eV per atom

abc: 7.9187 7.9187 6.1424
angles: 49.86 49.86 90.00
Each line ends with the local moment (μB).
Fractional positions:
Na (0.5965, 0.1250, 0.2500)  -0.01
Na (0.1535, 0.6250, 0.2500)  -0.01
Na (0.3750, 0.4035, 0.7500)  -0.01
Na (0.8750, 0.8465, 0.7500)  -0.01
Os (0.0000, 0.0000, 0.0000)  1.80
Os (0.7500, 0.2500, 0.5000)  1.80
Cu (0.5000, 0.5000, 0.0000)  0.16
Cu (0.2500, 0.7500, 0.5000)  0.16



This record from Alexandria via LeMat-Bulk describes a relaxed structure of ScTlRu2. The functional is PBE.

Results
Space-group type: P4mm (99)
Calculated formation energy: 32 meV per atom
Final energy: -6.7806 eV per atom

abc: 2.9753 2.9753 8.1195
angles: 90.00 90.00 90.00
Fractional positions:
Ru (0.0000, 0.0000, 0.0352)
Ru (0.5000, 0.5000, 0.2275)
Sc (0.0000, 0.0000, 0.4635)
Tl (0.5000, 0.5000, 0.7737)



This record from Alexandria via LeMat-Bulk describes a relaxed structure of As2PWSe. The functional is PBE.

Results
Space-group type: P4/mmm (123)
Offset from the most stable computed form: 0.000 eV per atom
Formation energy (no corrections): 0.86 eV per atom
Final energy: -5.3732 eV per atom

abc: 4.9613 4.9613 4.7564
angles: 90.00 90.00 90.00
Each line ends with the local moment (μB).
Fractional positions:
P (0.5000, 0.5000, 0.5000)  0.48
As (0.0000, 0.5000, 0.0000)  -0.08
As (0.5000, 0.0000, 0.0000)  -0.08
Se (0.0000, 0.0000, 0.5000)  0.00
W (0.0000, 0.0000, 0.0000)  0.28



This record from Alexandria via LeMat-Bulk describes a relaxed structure of NdMg4Zr. The functional is PBE.

Results
Space-group type: F-43m (216)
Calculated formation energy: 49 meV per atom
Final energy: -3.2332 eV per atom

abc: 5.9465 5.9465 5.9465
angles: 60.00 60.00 60.00
Each line ends with the local moment (μB).
Fractional positions:
Mg (0.6258, 0.6258, 0.1225)  0.00
Mg (0.6258, 0.1225, 0.6258)  0.00
Mg (0.6258, 0.6258, 0.6258)  0.00
Mg (0.1225, 0.6258, 0.6258)  0.00
Nd (0.2500, 0.2500, 0.2500)  0.25
Zr (0.0000, 0.0000, 0.0000)  0.86



This record from Alexandria via LeMat-Bulk describes a relaxed structure of CdBrO2. The functional is PBE.

Results
Space-group type: R-3m (166)
Offset from the most stable computed form: 0.859 eV per atom
Formation energy (no corrections): 0.42 eV per atom
Final energy: -2.7082 eV per atom

abc: 6.1846 6.1846 6.1846
angles: 35.99 35.99 35.99
Fractional positions:
O (0.8825, 0.8825, 0.8825)
O (0.1175, 0.1175, 0.1175)
Br (0.5000, 0.5000, 0.5000)
Cd (0.0000, 0.0000, 0.0000)



This record from Alexandria via LeMat-Bulk describes a relaxed structure of Al2SbRu. The functional is PBE.

Results
Space-group type: I-42d (122)
Formation energy (no corrections): 0.19 eV per atom
Final energy: -5.0264 eV per atom

abc: 7.8396 7.8396 6.1093
angles: 50.09 50.09 90.00
Fractional positions:
Sb (0.0000, 0.0000, 0.0000)
Sb (0.7500, 0.2500, 0.5000)
Al (0.5581, 0.1250, 0.2500)
Al (0.1919, 0.6250, 0.2500)
Al (0.3750, 0.4419, 0.7500)
Al (0.8750, 0.8081, 0.7500)
Ru (0.5000, 0.5000, 0.0000)
Ru (0.2500, 0.7500, 0.5000)



This record from Alexandria via LeMat-Bulk describes a relaxed structure of NdPu2Tl3S6. The functional is PBE.

Results
Space-group type: C2/m (12)
Formation energy (no corrections): -1.28 eV per atom
Final energy: -6.7262 eV per atom

abc: 7.1306 7.1306 7.8397
angles: 98.71 98.71 119.98
Each line ends with the local moment (μB).
Fractional positions:
Nd (0.0000, 0.0000, 0.0000)  0.04
Pu (0.3333, 0.6667, 0.0000)  5.03
Pu (0.6667, 0.3333, 0.0000)  5.03
Tl (0.1665, 0.8335, 0.5000)  0.00
Tl (0.8335, 0.1665, 0.5000)  0.00
Tl (0.5000, 0.5000, 0.5000)  0.00
S (0.9337, 0.5916, 0.8009)  -0.07
S (0.7237, 0.7237, 0.1974)  -0.07
S (0.0663, 0.4084, 0.1991)  -0.07
S (0.5916, 0.9337, 0.8009)  -0.07
S (0.2763, 0.2763, 0.8026)  -0.07
S (0.4084, 0.0663, 0.1991)  -0.07



This record from Alexandria via LeMat-Bulk describes a relaxed structure of Dy6Pd2Ru. The functional is PBE.

Results
Space-group type: P2_1/c (14)
Calculated formation energy: -500 meV per atom
Final energy: -5.7523 eV per atom

abc: 6.4913 7.4004 9.9327
angles: 90.00 89.78 90.00
Fractional positions:
Dy (0.8516, 0.9619, 0.2479)
Dy (0.8287, 0.6774, 0.5651)
Dy (0.8434, 0.6789, 0.9316)
Dy (0.6566, 0.1789, 0.5684)
Dy (0.6713, 0.1774, 0.9349)
Dy (0.6484, 0.4619, 0.2521)
Dy (0.1484, 0.0381, 0.7521)
Dy (0.1713, 0.3226, 0.4349)
Dy (0.1566, 0.3211, 0.0684)
Dy (0.3434, 0.8211, 0.4316)
Dy (0.3287, 0.8226, 0.0651)
Dy (0.3516, 0.5381, 0.7479)
Pd (0.9402, 0.3827, 0.7495)
Pd (0.5598, 0.8827, 0.7505)
Pd (0.4402, 0.1173, 0.2495)
Pd (0.0598, 0.6173, 0.2505)
Ru (0.5000, 0.5000, 0.0000)
Ru (0.0000, 0.0000, 0.5000)



This record from Alexandria via LeMat-Bulk describes a relaxed structure of LiIn2Au. The functional is PBE.

Results
Space-group type: I-4m2 (119)
Calculated formation energy: -267 meV per atom
Final energy: -2.9336 eV per atom

abc: 5.3038 5.3038 4.3436
angles: 65.85 65.85 48.39
Fractional positions:
Li (0.4998, 0.4998, 0.5000)
Au (0.2500, 0.2500, 0.2502)
In (0.0001, 0.0001, 0.9999)
In (0.7501, 0.7501, 0.7499)



no.,V (Å³/cell),total magnetization (μB/f.u.)
1,233.0,0.0
2,145.7,1.0
3,69.0,0.0
4,158.3,2.0
5,71.9,0.0
6,117.1,1.1
7,148.7,2.2
8,73.1,0.0
9,157.8,0.0
10,329.0,10.0
11,477.1,0.0
12,81.7,0.0